VASP calculation (GGA-PBE) on crystalline Dy6SnAs2S3 at its relaxed geometry.

Cell and atoms, written as POSCAR:
```
Dy6SnAs2S3
1.0
4.058 0.000 0.000
0.000 8.146 0.329
-2.029 -2.312 8.558
Dy As S Sn
6 2 3 1
Direct
0.672 0.086 0.344
0.328 0.914 0.656
0.668 0.583 0.336
0.000 0.266 0.999
0.000 0.734 0.001
0.332 0.417 0.664
0.167 0.334 0.334
0.833 0.666 0.666
0.500 0.500 0.000
0.833 0.168 0.666
0.167 0.832 0.334
0.500 0.000 0.000
```

Computed properties:
* E: -6.051 eV/atom
* total magnetic moment: 0.0 μB per formula unit
* SG: C2/m, No. 12



VASP calculation (GGA-PBE) on crystalline SiNi6Ir2 at its relaxed geometry.

Cell and atoms, written as POSCAR:
```
SiNi6Ir2
1.0
3.450 0.000 -1.032
-0.566 5.285 -1.892
-0.135 0.108 5.833
Ni Si Ir
6 1 2
Direct
0.614 0.176 0.228
0.277 0.167 0.553
0.829 0.500 0.658
0.386 0.824 0.772
0.171 0.500 0.342
0.723 0.833 0.447
0.500 0.500 0.000
0.945 0.178 0.890
0.055 0.822 0.110
```

Computed properties:
* E: -6.567 eV/atom
* total magnetic moment: 2.4 μB per formula unit
* SG: C2/m, No. 12



VASP calculation (GGA-PBE) on crystalline YGa2Se4 at its relaxed geometry.

Cell and atoms, written as POSCAR:
```
YGa2Se4
1.0
6.322 0.060 0.000
-2.991 5.570 0.000
-1.665 -2.815 5.410
Ga Se Y
2 4 1
Direct
0.250 0.750 0.500
0.750 0.250 0.500
0.320 0.174 0.493
0.680 0.826 0.507
0.174 0.680 0.854
0.826 0.320 0.146
0.500 0.500 0.000
```

Computed properties:
* E: -4.538 eV/atom
* total magnetic moment: 0.0 μB per formula unit
* SG: I4/m, No. 87



VASP calculation (GGA-PBE) on crystalline Hf2Cr2Ge at its relaxed geometry.

Cell and atoms, written as POSCAR:
```
Hf2Cr2Ge
1.0
-0.708 6.287 -0.662
-4.797 -0.968 -4.064
-2.681 0.031 3.157
Ge Cr Hf
2 4 4
Direct
0.500 0.500 0.000
0.000 0.000 0.000
0.886 0.614 0.000
0.386 0.886 0.000
0.114 0.386 0.000
0.614 0.114 0.000
0.820 0.320 0.500
0.320 0.180 0.500
0.680 0.820 0.500
0.180 0.680 0.500
```

Computed properties:
* E: -8.819 eV/atom
* calculated formation energy: -64 meV/atom
* total magnetic moment: 0.0 μB per formula unit
* SG: P4/mbm, No. 127



VASP calculation (GGA-PBE) on crystalline Sr2PmB2O6 at its relaxed geometry.

Cell and atoms, written as POSCAR:
```
Sr2PmB2O6
1.0
-1.094 -3.846 3.223
-0.719 -0.787 -5.275
6.785 0.008 2.312
Pm O Sr B
1 6 2 2
Direct
0.500 0.000 0.500
0.727 0.925 0.190
0.218 0.435 0.333
0.273 0.075 0.810
0.782 0.565 0.667
0.801 0.075 0.810
0.199 0.925 0.190
0.703 0.406 0.168
0.297 0.594 0.832
0.952 0.904 0.754
0.048 0.096 0.246
```

Computed properties:
* E: -7.432 eV/atom
* total magnetic moment: 0.0 μB per formula unit
* SG: C2/m, No. 12



VASP calculation (GGA-PBE) on crystalline Ca2CdSn2Rh5 at its relaxed geometry.

Cell and atoms, written as POSCAR:
```
Ca2CdSn2Rh5
1.0
3.634 0.000 0.000
0.000 10.333 0.000
0.000 0.000 10.333
Rh Sn Cd Ca
10 4 2 4
Direct
0.500 0.301 0.564
0.500 0.801 0.936
0.500 0.500 0.000
0.500 0.199 0.064
0.500 0.699 0.436
0.500 0.436 0.301
0.500 0.936 0.199
0.500 0.064 0.801
0.500 0.000 0.500
0.500 0.564 0.699
0.000 0.870 0.370
0.000 0.630 0.870
0.000 0.130 0.630
0.000 0.370 0.130
0.000 0.500 0.500
0.000 0.000 0.000
0.000 0.670 0.170
0.000 0.170 0.330
0.000 0.330 0.830
0.000 0.830 0.670
```

Computed properties:
* E: -5.353 eV/atom
* calculated formation energy: -385 meV/atom
* total magnetic moment: 0.0 μB per formula unit
* SG: P4/mbm, No. 127



VASP calculation (GGA-PBE) on crystalline CuH6PtPb2 at its relaxed geometry.

Cell and atoms, written as POSCAR:
```
CuH6PtPb2
1.0
-1.350 1.902 4.202
-0.264 -4.991 1.159
6.680 0.644 -1.201
Cu Pt Pb H
1 1 2 6
Direct
0.637 0.908 0.149
0.063 0.979 0.995
0.640 0.149 0.606
0.089 0.690 0.598
0.708 0.820 0.381
0.952 0.263 0.999
0.704 0.759 0.913
0.228 0.717 0.042
0.062 0.036 0.248
0.416 0.181 0.066
```

Computed properties:
* E: -3.676 eV/atom
* total magnetic moment: 0.0 μB per formula unit
* SG: P1, No. 1



VASP calculation (GGA-PBE) on crystalline Ca4U3SnAs8 at its relaxed geometry.

Cell and atoms, written as POSCAR:
```
Ca4U3SnAs8
1.0
8.432 0.000 0.000
0.000 8.337 -0.073
-4.216 -4.212 5.965
Sn As Ca U
1 8 4 3
Direct
0.000 0.500 0.000
0.744 0.731 0.488
0.249 0.727 0.979
0.730 0.727 0.979
0.751 0.273 0.021
0.256 0.269 0.512
0.270 0.273 0.021
0.751 0.273 0.503
0.249 0.727 0.497
0.500 0.000 0.000
0.500 0.000 0.500
0.000 0.000 0.000
0.000 0.000 0.500
0.500 0.500 0.500
0.000 0.500 0.500
0.500 0.500 0.000
```

Computed properties:
* E: -6.036 eV/atom
* calculated formation energy: -844 meV/atom
* total magnetic moment: 4.3 μB per formula unit
* SG: R-3m, No. 166



VASP calculation (GGA-PBE) on crystalline Sc7AgPd4 at its relaxed geometry.

Cell and atoms, written as POSCAR:
```
Sc7AgPd4
1.0
-3.498 2.988 -2.249
-6.774 -0.602 3.908
-0.817 6.119 3.571
Sc Pd Ag
7 4 1
Direct
0.500 0.000 0.000
0.936 0.381 0.748
0.783 0.883 0.551
0.064 0.619 0.252
0.718 0.331 0.234
0.282 0.669 0.766
0.217 0.117 0.449
0.435 0.761 0.369
0.565 0.239 0.631
0.697 0.650 0.956
0.303 0.350 0.044
0.000 0.000 0.000
```

Computed properties:
* E: -6.104 eV/atom
* calculated formation energy: -442 meV/atom
* total magnetic moment: 0.0 μB per formula unit
* SG: C2/m, No. 12



VASP calculation (GGA-PBE) on crystalline CaAgGeF2 at its relaxed geometry.

Cell and atoms, written as POSCAR:
```
CaAgGeF2
1.0
4.528 0.000 0.000
0.000 4.528 0.000
0.000 0.000 5.013
F Ca Ge Ag
2 1 1 1
Direct
0.500 0.000 0.000
0.000 0.500 0.000
0.500 0.500 0.500
0.000 0.000 0.500
0.000 0.000 0.000
```

Computed properties:
* E: -3.613 eV/atom
* total magnetic moment: 0.0 μB per formula unit
* SG: P4/mmm, No. 123